## AcNd2Er (PBE)

Data for a geometry-optimized AcNd2Er structure.

Cell lengths 3.7324, 3.7324, 36.2114 Å; angles 90.00, 90.00, 120.00 degrees
Space group R3m (No. 160, hexagonal axes)
Asymmetric unit:
Ac (0.0000, 0.0000, 0.0000) x3
Nd (0.0000, 0.0000, 0.5791) x3
Nd (0.0000, 0.0000, 0.7544) x3
Er (0.0000, 0.0000, 0.1666) x3

**Calculated formation energy**: 0.0486 eV per atom
**DOS at the Fermi energy**: 1.39 states/eV per atom


## Ac2Nd6Er (PBE)

Data for a geometry-optimized Ac2Nd6Er structure.

Cell lengths 15.6708, 10.2391, 9.3213 Å; angles 90.00, 117.99, 90.00 degrees
Space group C2/c (No. 15)
Asymmetric unit:
Ac (0.0933, 0.0790, 0.1791) x8
Nd (0.0823, 0.4206, 0.1641) x8
Nd (0.1640, 0.2551, 0.5807) x8
Nd (0.2386, 0.4092, 0.9849) x8
Er (0.0000, 0.2573, 0.7500) x4

**Calculated formation energy**: 0.0871 eV per atom
**DOS at the Fermi energy**: 1.52 states/eV per atom


## Ac4Nd4Er3 (PBE)

Data for a geometry-optimized Ac4Nd4Er3 structure.

Cell lengths 3.6888, 5.8548, 19.2725 Å; angles 98.72, 90.08, 90.00 degrees
Space group P1 (No. 1)
Asymmetric unit:
Ac (0.0000, 0.0000, 0.0000) x1
Ac (0.0018, 0.6271, 0.2564) x1
Ac (0.4979, 0.8104, 0.6216) x1
Ac (0.4997, 0.4414, 0.8836) x1
Nd (0.4979, 0.1824, 0.3662) x1
Nd (0.5011, 0.5413, 0.0833) x1
Nd (0.9980, 0.2645, 0.5306) x1
Nd (0.9990, 0.9001, 0.8006) x1
Er (0.5012, 0.0866, 0.1751) x1
Er (0.9969, 0.7210, 0.4435) x1
Er (0.9984, 0.3552, 0.7102) x1

**Calculated formation energy**: 0.0243 eV per atom
**DOS at the Fermi energy**: 1.47 states/eV per atom


## AcNd2Er2 (PBE)

Data for a geometry-optimized AcNd2Er2 structure.

Cell lengths 3.7243, 15.5921, 12.4576 Å; angles 90.00, 90.00, 90.00 degrees
Space group Cmc2_1 (No. 36)
Asymmetric unit:
Ac (0.0000, 0.1285, 0.0000) x4
Nd (0.0000, 0.1996, 0.3336) x4
Nd (0.0000, 0.4905, 0.2421) x4
Er (0.0000, 0.1944, 0.6370) x4
Er (0.0000, 0.4340, 0.9878) x4

**Calculated formation energy**: 0.1315 eV per atom
**DOS at the Fermi energy**: 1.42 states/eV per atom


## AcNd5Er6 (PBE)

Data for a geometry-optimized AcNd5Er6 structure.

Cell lengths 11.8680, 10.8858, 6.2846 Å; angles 90.00, 100.24, 90.00 degrees
Space group C2/m (No. 12)
Asymmetric unit:
Ac (0.0000, 0.0000, 0.0000) x2
Nd (0.0000, 0.1699, 0.5000) x4
Nd (0.0000, 0.3356, 0.0000) x4
Nd (0.0000, 0.5000, 0.5000) x2
Er (0.2482, 0.3323, 0.7495) x8
Er (0.2488, 0.5000, 0.2537) x4

**Calculated formation energy**: 0.0286 eV per atom
**DOS at the Fermi energy**: 1.33 states/eV per atom


## Ac5Nd6Er (PBE)

Data for a geometry-optimized Ac5Nd6Er structure.

Cell lengths 5.4199, 10.5884, 16.1750 Å; angles 90.00, 90.00, 90.00 degrees
Space group Immm (No. 71)
Asymmetric unit:
Ac (0.0000, 0.0000, 0.0000) x2
Ac (0.0000, 0.0000, 0.3380) x4
Ac (0.0000, 0.5000, 0.3328) x4
Nd (0.0000, 0.2465, 0.5000) x4
Nd (0.0000, 0.2530, 0.1645) x8
Er (0.0000, 0.5000, 0.0000) x2

**Calculated formation energy**: 0.0382 eV per atom
**DOS at the Fermi energy**: 1.81 states/eV per atom